This record from Alexandria describes crystalline Mg6MnNiO8 at its relaxed geometry. The functional is PBE+U.

Structure (POSCAR):
```
Mg6MnNiO8
1.0
4.2908 0.0000 0.0000
0.0000 4.2908 0.0000
0.0000 0.0000 8.5666
Mg Mn Ni O
6 1 1 8
direct
0.0000 0.0000 0.0000
0.0000 0.5000 0.2491
0.0000 0.5000 0.7509
0.5000 0.0000 0.2491
0.5000 0.0000 0.7509
0.5000 0.5000 0.0000
0.0000 0.0000 0.5000
0.5000 0.5000 0.5000
0.0000 0.0000 0.2422
0.0000 0.0000 0.7578
0.0000 0.5000 0.0000
0.0000 0.5000 0.5000
0.5000 0.0000 0.0000
0.5000 0.0000 0.5000
0.5000 0.5000 0.2504
0.5000 0.5000 0.7496
```

Properties
The energy is -6.061 eV/atom. The size of the total moment comes out at 7.00 μB per formula unit. The symmetry is P4/mmm (123).